No. 1
Ba2PuAl2Sb4: optimized geometry, PBE-GGA. Values from VASP.

Quantum ESPRESSO input file:
```
&SYSTEM
  ibrav = 0, nat = 9, ntyp = 4
/
ATOMIC_SPECIES
Ba 137.33 Ba.upf
Pu 244.00 Pu.upf
Al 26.98 Al.upf
Sb 121.76 Sb.upf
ATOMIC_POSITIONS crystal
Ba 0.130 0.130 0.066
Ba 0.870 0.870 0.934
Pu 0.000 0.000 0.500
Al 0.334 0.334 0.516
Al 0.666 0.666 0.484
Sb 0.207 0.207 0.686
Sb 0.489 0.489 0.759
Sb 0.511 0.511 0.241
Sb 0.793 0.793 0.314
CELL_PARAMETERS angstrom
8.212 -2.287 0.000
8.212 2.287 0.000
-2.552 0.000 7.775
```

Computed properties:
DOS at the Fermi energy = 15.97 states/eV/cell

---

No. 2
AcCuP2S8: optimized geometry, PBE-GGA. Values from VASP.

Quantum ESPRESSO input file:
```
&SYSTEM
  ibrav = 0, nat = 12, ntyp = 4
/
ATOMIC_SPECIES
Ac 227.00 Ac.upf
Cu 63.55 Cu.upf
P 30.97 P.upf
S 32.06 S.upf
ATOMIC_POSITIONS crystal
Ac 0.000 0.000 0.000
Cu 0.000 0.000 0.500
P 0.333 0.667 0.748
P 0.667 0.333 0.252
S 0.002 0.682 0.316
S 0.318 0.321 0.316
S 0.321 0.002 0.684
S 0.333 0.667 0.989
S 0.667 0.333 0.011
S 0.679 0.998 0.316
S 0.682 0.679 0.684
S 0.998 0.318 0.684
CELL_PARAMETERS angstrom
5.829 0.000 0.000
-2.915 5.048 0.000
0.000 0.000 8.507
```

Computed properties:
DOS at the Fermi energy = 5.76 states/eV/cell

---

No. 3
SmHo3Zn8: optimized geometry, PBE-GGA. Values from VASP.

Quantum ESPRESSO input file:
```
&SYSTEM
  ibrav = 0, nat = 12, ntyp = 3
/
ATOMIC_SPECIES
Sm 150.36 Sm.upf
Ho 164.93 Ho.upf
Zn 65.41 Zn.upf
ATOMIC_POSITIONS crystal
Sm 0.000 0.000 0.000
Ho 0.000 0.000 0.385
Ho 0.667 0.333 0.505
Ho 0.667 0.333 0.889
Zn 0.166 0.331 0.691
Zn 0.166 0.834 0.691
Zn 0.333 0.667 0.444
Zn 0.333 0.667 0.945
Zn 0.502 0.004 0.197
Zn 0.502 0.498 0.197
Zn 0.669 0.834 0.691
Zn 0.996 0.498 0.197
CELL_PARAMETERS angstrom
5.547 0.000 0.000
-2.773 4.804 0.000
0.000 0.000 8.668
```

Computed properties:
E_form = -0.320 eV/atom
DOS at the Fermi energy = 8.00 states/eV/cell

---

No. 4
FeBiAsSe2: optimized geometry, PBE-GGA. Values from VASP.

Quantum ESPRESSO input file:
```
&SYSTEM
  ibrav = 0, nat = 5, ntyp = 4
/
ATOMIC_SPECIES
Fe 55.84 Fe.upf
Bi 208.98 Bi.upf
As 74.92 As.upf
Se 78.96 Se.upf
ATOMIC_POSITIONS crystal
Fe 0.000 0.000 0.000
Bi 0.500 0.500 0.500
As 0.000 0.000 0.500
Se 0.000 0.500 0.000
Se 0.500 0.000 0.000
CELL_PARAMETERS angstrom
4.956 0.000 0.000
0.000 4.956 0.000
0.000 0.000 4.400
```

Computed properties:
energy relative to the lowest polymorph listed for this composition = 0 meV per atom
DOS at the Fermi energy = 8.22 states/eV/cell

---

No. 5
Ac3Ga2Ge3: optimized geometry, PBE-GGA. Values from VASP.

Quantum ESPRESSO input file:
```
&SYSTEM
  ibrav = 0, nat = 16, ntyp = 3
/
ATOMIC_SPECIES
Ac 227.00 Ac.upf
Ga 69.72 Ga.upf
Ge 72.64 Ge.upf
ATOMIC_POSITIONS crystal
Ac 0.061 0.939 0.610
Ac 0.061 0.939 0.890
Ac 0.343 0.657 0.750
Ac 0.657 0.343 0.250
Ac 0.939 0.061 0.110
Ac 0.939 0.061 0.390
Ga 0.228 0.772 0.101
Ga 0.228 0.772 0.399
Ga 0.772 0.228 0.601
Ga 0.772 0.228 0.899
Ge 0.364 0.636 0.541
Ge 0.364 0.636 0.959
Ge 0.375 0.625 0.250
Ge 0.625 0.375 0.750
Ge 0.636 0.364 0.041
Ge 0.636 0.364 0.459
CELL_PARAMETERS angstrom
2.234 -6.017 0.000
2.234 6.017 0.000
0.000 0.000 15.753
```

Computed properties:
E_form = -0.586 eV/atom
energy relative to the lowest polymorph listed for this composition = 33 meV per atom
DOS at the Fermi energy = 10.64 states/eV/cell

---

No. 6
TaIr2Se: optimized geometry, PBE-GGA. Values from VASP.

Quantum ESPRESSO input file:
```
&SYSTEM
  ibrav = 0, nat = 4, ntyp = 3
/
ATOMIC_SPECIES
Ta 180.95 Ta.upf
Ir 192.22 Ir.upf
Se 78.96 Se.upf
ATOMIC_POSITIONS crystal
Ta 0.000 0.000 0.000
Ir 0.500 0.500 0.243
Ir 0.500 0.500 0.757
Se 0.000 0.000 0.500
CELL_PARAMETERS angstrom
2.930 0.000 0.000
0.000 2.930 0.000
0.000 0.000 7.579
```

Computed properties:
DOS at the Fermi energy = 4.06 states/eV/cell

---

No. 7
Tl2NiTe: optimized geometry, PBE-GGA. Values from VASP.

Quantum ESPRESSO input file:
```
&SYSTEM
  ibrav = 0, nat = 4, ntyp = 3
/
ATOMIC_SPECIES
Tl 204.38 Tl.upf
Ni 58.69 Ni.upf
Te 127.60 Te.upf
ATOMIC_POSITIONS crystal
Tl 0.000 0.000 0.181
Tl 0.000 0.000 0.819
Ni 0.500 0.500 0.000
Te 0.500 0.500 0.500
CELL_PARAMETERS angstrom
3.283 0.000 0.000
0.000 3.283 0.000
0.000 0.000 9.093
```

Computed properties:
energy relative to the lowest polymorph listed for this composition = 332 meV per atom
DOS at the Fermi energy = 3.31 states/eV/cell

---

No. 8
CaAg2O4: optimized geometry, PBE-GGA. Values from VASP.

Quantum ESPRESSO input file:
```
&SYSTEM
  ibrav = 0, nat = 14, ntyp = 3
/
ATOMIC_SPECIES
Ca 40.08 Ca.upf
Ag 107.87 Ag.upf
O 16.00 O.upf
ATOMIC_POSITIONS crystal
Ca 0.000 0.000 0.000
Ca 0.398 0.398 0.398
Ag 0.003 0.003 0.499
Ag 0.003 0.499 0.003
Ag 0.499 0.003 0.003
Ag 0.618 0.618 0.618
O 0.196 0.749 0.749
O 0.246 0.246 0.813
O 0.246 0.813 0.246
O 0.257 0.257 0.257
O 0.749 0.196 0.749
O 0.749 0.749 0.196
O 0.749 0.749 0.749
O 0.813 0.246 0.246
CELL_PARAMETERS angstrom
3.325 1.920 5.370
-3.325 1.920 5.370
0.000 -3.839 5.370
```

Computed properties:
energy relative to the lowest polymorph listed for this composition = 204 meV per atom
DOS at the Fermi energy = 4.53 states/eV/cell

---

no.,VASP energy (eV/atom)
1,-5.31
2,-4.87
3,-2.71
4,-4.53
5,-4.61
6,-8.36
7,-3.17
8,-4.67